Entry 1:
PBE LiTaSb2, relaxed; space-group type = I-42d (122); DOS(E_F) = 0.0 states/eV per cell; relative energy among the computed polymorphs = 0.443 eV per atom; electronic total energy = -5.20 eV/atom
1.0
6.602 0.000 0.000
0.000 6.602 0.000
0.000 0.000 11.959
Li Ta Sb
4 4 8
Cartesian
0.000 0.000 0.000
0.000 3.301 2.990
3.301 0.000 8.970
3.301 3.301 5.980
0.000 0.000 5.980
0.000 3.301 8.970
3.301 0.000 2.990
3.301 3.301 0.000
1.497 1.651 7.475
1.651 4.799 10.464
1.651 5.105 4.485
1.804 1.651 1.495
4.799 4.952 1.495
4.952 1.497 4.485
4.952 1.804 10.464
5.105 4.952 7.475


Entry 2:
PBE LiTaSb2, relaxed; space-group type = R-3m (166); DOS(E_F) = 4.7 states/eV per cell; relative energy among the computed polymorphs = 0.000 eV per atom; electronic total energy = -5.65 eV/atom
1.0
3.499 0.000 0.000
-1.750 3.030 0.000
0.000 0.000 25.288
Li Ta Sb
3 3 6
Cartesian
0.000 0.000 0.000
0.000 2.020 16.859
1.750 1.010 8.429
0.000 0.000 12.644
0.000 2.020 4.215
1.750 1.010 21.074
0.000 0.000 6.208
0.000 0.000 19.080
0.000 2.020 10.651
0.000 2.020 23.067
1.750 1.010 2.221
1.750 1.010 14.637


Entry 3:
PBE LiTaSb2, relaxed; space-group type = Cmm2 (35); DOS(E_F) = 4.9 states/eV per cell; relative energy among the computed polymorphs = 0.313 eV per atom; electronic total energy = -5.33 eV/atom
1.0
3.823 0.000 0.000
0.000 4.629 0.000
0.000 0.000 10.592
Li Ta Sb
2 2 4
Cartesian
0.000 0.000 0.000
1.912 2.315 0.000
0.000 2.315 2.264
1.912 0.000 2.264
0.000 0.000 4.476
0.000 2.315 8.431
1.912 0.000 8.431
1.912 2.315 4.476


Entry 4:
PBE LiTaSb3, relaxed; space-group type = Pm-3m (221); DOS(E_F) = 5.4 states/eV per cell; relative energy among the computed polymorphs = 0.634 eV per atom; electronic total energy = -4.34 eV/atom
1.0
4.894 0.000 0.000
0.000 4.894 0.000
0.000 0.000 4.894
Li Ta Sb
1 1 3
Cartesian
0.000 0.000 0.000
2.447 2.447 2.447
0.000 0.000 2.447
0.000 2.447 0.000
2.447 0.000 0.000


Entry 5:
PBE LiTaSb2, relaxed; space-group type = Cmmm (65); DOS(E_F) = 5.4 states/eV per cell; relative energy among the computed polymorphs = 0.231 eV per atom; electronic total energy = -5.42 eV/atom
1.0
6.742 0.000 0.000
0.000 6.750 0.000
0.000 0.000 3.572
Li Ta Sb
2 2 4
Cartesian
0.000 0.000 0.000
3.371 3.375 0.000
0.000 3.375 0.000
3.371 0.000 0.000
1.686 1.687 1.786
1.686 5.062 1.786
5.057 1.687 1.786
5.057 5.062 1.786


Entry 6:
PBE LiTaSb2, relaxed; space-group type = Pm (6); DOS(E_F) = 2.9 states/eV per cell; relative energy among the computed polymorphs = 0.146 eV per atom; electronic total energy = -5.50 eV/atom
1.0
3.163 0.000 0.000
0.000 4.884 0.000
-1.529 0.000 5.346
Li Ta Sb
1 1 2
Cartesian
0.000 0.000 0.000
1.609 2.442 3.651
0.018 0.000 2.762
1.583 2.442 0.677


Entry 7:
PBE LiTaSb4, relaxed; space-group type = F-43m (216); DOS(E_F) = 3.3 states/eV per cell; electronic total energy = -4.30 eV/atom
1.0
0.000 4.296 4.296
4.296 0.000 4.296
4.296 4.296 0.000
Li Ta Sb
1 1 4
Cartesian
0.000 0.000 0.000
2.148 2.148 2.148
5.365 3.227 3.227
3.227 5.365 3.227
3.227 3.227 5.365
5.365 5.365 5.365


Entry 8:
PBE LiTaSb2, relaxed; space-group type = P4mm (99); DOS(E_F) = 1.7 states/eV per cell; relative energy among the computed polymorphs = 0.132 eV per atom; electronic total energy = -5.51 eV/atom
1.0
3.864 0.000 0.000
0.000 3.864 0.000
0.000 0.000 5.625
Li Ta Sb
1 1 2
Cartesian
0.000 0.000 0.000
1.932 1.932 3.900
0.000 0.000 2.912
1.932 1.932 0.929


Entry 9:
PBE LiTaSb2, relaxed; space-group type = P4mm (99); DOS(E_F) = 1.2 states/eV per cell; relative energy among the computed polymorphs = 0.319 eV per atom; electronic total energy = -5.33 eV/atom
1.0
3.038 0.000 0.000
0.000 3.038 0.000
0.000 0.000 10.192
Li Ta Sb
1 1 2
Cartesian
0.000 0.000 0.000
1.519 1.519 8.046
0.000 0.000 5.906
1.519 1.519 1.914


Entry 10:
PBE LiTaSb2, relaxed; space-group type = Immm (71); DOS(E_F) = 5.6 states/eV per cell; relative energy among the computed polymorphs = 0.192 eV per atom; electronic total energy = -5.45 eV/atom
1.0
3.984 0.000 0.000
0.000 5.066 0.000
0.000 0.000 7.927
Li Ta Sb
2 2 4
Cartesian
0.000 0.000 0.000
1.992 2.533 3.964
0.000 0.000 3.964
1.992 2.533 0.000
0.000 2.533 2.111
0.000 2.533 5.816
1.992 0.000 1.852
1.992 0.000 6.075


Entry 11:
PBE LiTaSb2, relaxed; space-group type = Pmm2 (25); DOS(E_F) = 2.2 states/eV per cell; relative energy among the computed polymorphs = 0.190 eV per atom; electronic total energy = -5.46 eV/atom
1.0
3.146 0.000 0.000
0.000 4.635 0.000
0.000 0.000 5.926
Li Ta Sb
1 1 2
Cartesian
0.000 0.000 0.000
1.573 2.317 3.921
0.000 0.000 3.210
1.573 2.317 0.781


Entry 12:
PBE LiTa2TcSb, relaxed; space-group type = P4/mmm (123); DOS(E_F) = 4.0 states/eV per cell; electronic total energy = -6.96 eV/atom
1.0
4.454 0.000 0.000
0.000 4.454 0.000
0.000 0.000 4.285
Li Ta Tc Sb
1 2 1 1
Cartesian
0.000 0.000 0.000
0.000 2.227 0.000
2.227 0.000 0.000
2.227 2.227 2.143
0.000 0.000 2.143


Entry 13:
PBE LiTaSbTe2, relaxed; space-group type = P4/mmm (123); DOS(E_F) = 1.2 states/eV per cell; relative energy among the computed polymorphs = 0.000 eV per atom; electronic total energy = -4.75 eV/atom
1.0
5.462 0.000 0.000
0.000 5.462 0.000
0.000 0.000 5.449
Li Ta Sb Te
1 1 1 2
Cartesian
0.000 0.000 0.000
2.731 2.731 2.725
2.731 2.731 0.000
0.000 2.731 2.725
2.731 0.000 2.725


Entry 14:
PBE LiTaSbTe2, relaxed; space-group type = P4/mmm (123); DOS(E_F) = 6.8 states/eV per cell; relative energy among the computed polymorphs = 0.771 eV per atom; electronic total energy = -3.98 eV/atom
1.0
5.019 0.000 0.000
0.000 5.019 0.000
0.000 0.000 4.709
Li Ta Sb Te
1 1 1 2
Cartesian
0.000 0.000 0.000
2.510 2.510 2.355
0.000 0.000 2.355
0.000 2.510 0.000
2.510 0.000 0.000


Entry 15:
PBE LiTaTiSb2, relaxed; space-group type = P4/mmm (123); DOS(E_F) = 4.6 states/eV per cell; electronic total energy = -5.21 eV/atom
1.0
4.849 0.000 0.000
0.000 4.849 0.000
0.000 0.000 4.161
Li Ta Ti Sb
1 1 1 2
Cartesian
0.000 0.000 0.000
2.425 2.425 2.081
0.000 0.000 2.081
0.000 2.425 0.000
2.425 0.000 0.000


Entry 16:
PBE LiTaV2Sb, relaxed; space-group type = P4/mmm (123); DOS(E_F) = 7.0 states/eV per cell; electronic total energy = -6.00 eV/atom
1.0
4.597 0.000 0.000
0.000 4.597 0.000
0.000 0.000 4.863
Li Ta V Sb
1 1 2 1
Cartesian
0.000 0.000 0.000
0.000 0.000 2.431
0.000 2.298 2.431
2.298 0.000 2.431
2.298 2.298 0.000


Entry 17:
PBE LiTb2Sb, relaxed; space-group type = Imma (74); DOS(E_F) = 13.2 states/eV per cell; relative energy among the computed polymorphs = 0.000 eV per atom; electronic total energy = -4.36 eV/atom
1.0
6.826 0.000 0.000
0.000 8.382 0.000
0.000 0.000 7.093
Li Tb Sb
4 8 4
Cartesian
0.000 2.096 0.302
0.000 6.287 6.791
3.413 2.096 3.244
3.413 6.287 3.849
1.706 0.193 5.320
1.706 3.998 5.320
1.706 4.384 1.773
1.706 8.189 1.773
5.119 0.193 5.320
5.119 3.998 5.320
5.119 4.384 1.773
5.119 8.189 1.773
0.000 2.096 3.274
0.000 6.287 3.819
3.413 2.096 0.273
3.413 6.287 6.821


Entry 18:
PBE LiTb2Sb, relaxed; space-group type = Fm-3m (225); DOS(E_F) = 12.2 states/eV per cell; relative energy among the computed polymorphs = 0.079 eV per atom; electronic total energy = -4.28 eV/atom
1.0
7.377 0.000 0.000
0.000 7.377 0.000
0.000 0.000 7.377
Li Tb Sb
4 8 4
Cartesian
0.000 0.000 0.000
0.000 3.689 3.689
3.689 0.000 3.689
3.689 3.689 0.000
1.844 1.844 1.844
1.844 1.844 5.533
1.844 5.533 1.844
1.844 5.533 5.533
5.533 1.844 1.844
5.533 1.844 5.533
5.533 5.533 1.844
5.533 5.533 5.533
0.000 0.000 3.689
0.000 3.689 0.000
3.689 0.000 0.000
3.689 3.689 3.689


Entry 19:
PBE LiTb2Sb, relaxed; space-group type = P4/mmm (123); DOS(E_F) = 2.9 states/eV per cell; relative energy among the computed polymorphs = 0.005 eV per atom; electronic total energy = -4.35 eV/atom
1.0
4.905 0.000 0.000
0.000 4.905 0.000
0.000 0.000 4.237
Li Tb Sb
1 2 1
Cartesian
0.000 0.000 0.000
0.000 2.453 2.118
2.453 0.000 2.118
2.453 2.453 0.000


Entry 20:
PBE Li2TbSbTe4, relaxed; space-group type = P2/m (10); electronic total energy = -4.00 eV/atom
1.0
7.461 0.000 0.000
0.000 4.355 0.000
-2.550 0.000 7.136
Li Tb Sb Te
2 1 1 4
Cartesian
0.000 0.000 0.000
-1.275 2.178 3.568
2.455 0.000 3.568
3.730 2.178 0.000
-0.098 0.000 5.351
1.198 2.178 1.754
3.713 2.178 5.382
5.008 0.000 1.785


Computed values of mass density (unit: g/cm3) for the preceding records, in sequence: 5.50 8.01 7.64 7.84 8.81 8.68 7.07 8.53 7.62 8.96 8.29 11.50 5.77 7.91 8.13 6.65 7.31 7.39 7.27 5.76.